Entry 1:
! PBE TaRh2, optimized geometry; values from VASP
&SYSTEM
  ibrav = 0, nat = 6, ntyp = 2
/
ATOMIC_SPECIES
Ta 180.95 Ta.upf
Rh 102.91 Rh.upf
CELL_PARAMETERS angstrom
-1.563 1.563 10.434
1.563 -1.563 10.434
1.563 1.563 -10.434
ATOMIC_POSITIONS angstrom
Ta 1.563 0.782 2.608
Ta 0.000 0.782 7.825
Rh 1.563 -0.782 6.368
Rh 1.563 -0.782 9.283
Rh 0.000 2.345 1.151
Rh 0.000 2.345 4.066
! Energy relative to the elements in eV per atom: -0.276
! Fermi-level density of states in states/eV/cell: 4.43


Entry 2:
! PBE TaRh, optimized geometry; values from VASP
&SYSTEM
  ibrav = 0, nat = 16, ntyp = 2
/
ATOMIC_SPECIES
Ta 180.95 Ta.upf
Rh 102.91 Rh.upf
CELL_PARAMETERS angstrom
7.901 0.000 0.000
0.000 7.901 0.000
0.000 0.000 4.404
ATOMIC_POSITIONS angstrom
Ta 0.232 2.436 0.000
Ta 1.514 3.719 2.202
Ta 2.436 7.669 0.000
Ta 3.719 6.387 2.202
Ta 4.183 1.514 2.202
Ta 5.465 0.232 0.000
Ta 6.387 4.183 2.202
Ta 7.669 5.465 0.000
Rh 0.947 6.238 2.202
Rh 1.663 0.947 2.202
Rh 2.288 4.898 0.000
Rh 3.003 2.288 0.000
Rh 4.898 5.614 0.000
Rh 5.614 3.003 0.000
Rh 6.238 6.954 2.202
Rh 6.954 1.663 2.202
! Energy relative to the elements in eV per atom: -0.247
! Fermi-level density of states in states/eV/cell: 16.21


Entry 3:
! PBE TaRh2, optimized geometry; values from VASP
&SYSTEM
  ibrav = 0, nat = 9, ntyp = 2
/
ATOMIC_SPECIES
Ta 180.95 Ta.upf
Rh 102.91 Rh.upf
CELL_PARAMETERS angstrom
7.471 0.000 0.000
-3.736 6.470 0.000
0.000 0.000 2.904
ATOMIC_POSITIONS angstrom
Ta 0.000 0.000 0.000
Ta 0.000 4.313 1.452
Ta 3.736 2.157 1.452
Rh -1.103 1.910 1.452
Rh -2.368 4.101 0.000
Rh 2.206 0.000 1.452
Rh 1.368 2.369 0.000
Rh 4.735 0.000 0.000
Rh 2.633 4.560 1.452
! Energy relative to the elements in eV per atom: -0.440
! Fermi-level density of states in states/eV/cell: 9.59


Entry 4:
! PBE TaRh, optimized geometry; values from VASP
&SYSTEM
  ibrav = 0, nat = 4, ntyp = 2
/
ATOMIC_SPECIES
Ta 180.95 Ta.upf
Rh 102.91 Rh.upf
CELL_PARAMETERS angstrom
4.403 0.000 0.000
-2.202 3.814 0.000
0.000 0.000 5.121
ATOMIC_POSITIONS angstrom
Ta 0.000 2.542 1.280
Ta 2.202 1.271 3.840
Rh 0.000 2.542 3.840
Rh 2.202 1.271 1.280
! Energy relative to the elements in eV per atom: 0.352
! Fermi-level density of states in states/eV/cell: 2.01


Entry 5:
! PBE TaRh, optimized geometry; values from VASP
&SYSTEM
  ibrav = 0, nat = 4, ntyp = 2
/
ATOMIC_SPECIES
Ta 180.95 Ta.upf
Rh 102.91 Rh.upf
CELL_PARAMETERS angstrom
5.133 -1.429 0.000
5.133 1.429 0.000
-2.026 0.000 4.393
ATOMIC_POSITIONS angstrom
Ta 0.636 0.000 1.271
Ta 7.604 0.000 3.122
Rh 3.407 0.000 0.910
Rh 4.833 0.000 3.484
! Energy relative to the elements in eV per atom: -0.330
! Fermi-level density of states in states/eV/cell: 4.84


Entry 6:
! PBE TaRh, optimized geometry; values from VASP
&SYSTEM
  ibrav = 0, nat = 8, ntyp = 2
/
ATOMIC_SPECIES
Ta 180.95 Ta.upf
Rh 102.91 Rh.upf
CELL_PARAMETERS angstrom
-4.671 4.671 1.722
4.671 -4.671 1.722
4.671 4.671 -1.722
ATOMIC_POSITIONS angstrom
Ta 7.631 1.128 0.000
Ta 1.128 1.712 0.000
Ta 3.543 2.960 1.722
Ta -2.960 3.543 1.722
Rh 3.582 1.116 0.000
Rh 3.555 -1.089 1.722
Rh 1.116 5.760 0.000
Rh 1.089 3.555 1.722
! Energy relative to the elements in eV per atom: 0.187
! Fermi-level density of states in states/eV/cell: 5.31


Entry 7:
! PBE Ta3Rh2, optimized geometry; values from VASP
&SYSTEM
  ibrav = 0, nat = 10, ntyp = 2
/
ATOMIC_SPECIES
Ta 180.95 Ta.upf
Rh 102.91 Rh.upf
CELL_PARAMETERS angstrom
0.000 6.737 2.552
4.874 0.000 2.552
4.874 6.737 0.000
ATOMIC_POSITIONS angstrom
Ta 0.000 0.000 0.000
Ta 2.437 3.368 1.276
Ta 5.477 5.332 2.568
Ta 4.272 8.142 2.568
Ta 6.709 8.700 3.844
Ta 7.914 11.510 3.844
Rh 7.017 7.434 1.504
Rh 4.579 2.671 2.780
Rh 2.732 6.039 1.504
Rh 5.169 10.803 2.780
! Energy relative to the elements in eV per atom: -0.258
! Fermi-level density of states in states/eV/cell: 10.73
! Relative energy among the computed polymorphs in meV/atom: 100